(1)
An optimized crystal structure of CuAg2. Source: the Open Quantum Materials Database, functional GGA-PBE.

* energy: -3.0347 eV/atom
* calculated formation energy: 0.0872 eV per atom

a = 2.8564 Å, b = 2.8564 Å, c = 20.4559 Å
α = 90.00°, β = 90.00°, γ = 120.00°
Closest atoms and distances in Å follow each position.
Space group P3m1 (No. 156)
Symmetry-distinct sites (fractional):
Cu: 0.0000 0.0000 0.0000 x1  6 Ag 2.72-2.73, 6 Cu 2.86
Cu: 0.0000 0.0000 0.3340 x1  6 Ag 2.74, 6 Cu 2.86
Cu: 0.3333 0.6667 0.5476 x1  6 Ag 2.73-2.74, 6 Cu 2.86
Ag: 0.0000 0.0000 0.6538 x1  3 Cu 2.73, 9 Ag 2.86-2.96
Ag: 0.3333 0.6667 0.2273 x1  3 Cu 2.74, 9 Ag 2.86-2.97
Ag: 0.3333 0.6667 0.8940 x1  3 Cu 2.72, 9 Ag 2.86-2.96
Ag: 0.6667 0.3333 0.1063 x1  3 Cu 2.73, 9 Ag 2.86-2.97
Ag: 0.6667 0.3333 0.4409 x1  6 Cu 2.74, 6 Ag 2.86
Ag: 0.6667 0.3333 0.7740 x1  12 Ag 2.86-2.96



(2)
An optimized crystal structure of Cu7Ag13. Source: the Open Quantum Materials Database, functional GGA-PBE.

* energy: -3.0498 eV/atom
* calculated formation energy: 0.0870 eV per atom

a = 4.8861 Å, b = 7.4389 Å, c = 8.9525 Å
α = 83.23°, β = 79.19°, γ = 89.87°
Closest atoms and distances in Å follow each position.
Space group P1 (No. 1)
Symmetry-distinct sites (fractional):
Cu: 0.0000 0.0000 0.0000 x1  3 Cu 2.67-2.82, 9 Ag 2.73-2.94
Cu: 0.0460 0.4366 0.3415 x1  8 Ag 2.69-2.85, 4 Cu 2.73-2.84
Cu: 0.1485 0.3337 0.0413 x1  3 Cu 2.67-2.84, 9 Ag 2.76-2.92
Cu: 0.2514 0.2404 0.7437 x1  7 Ag 2.70-2.87, 5 Cu 2.71-2.87
Cu: 0.3311 0.1519 0.4533 x1  8 Ag 2.67-2.92, 4 Cu 2.70-2.81
Cu: 0.7504 0.7443 0.2448 x1  10 Ag 2.72-2.90, 2 Cu 2.82-2.84
Cu: 0.7966 0.1966 0.5887 x1  5 Cu 2.70-2.87, 7 Ag 2.71-2.86
Ag: 0.0847 0.9105 0.6946 x1  4 Cu 2.70-2.84, 8 Ag 2.80-3.00
Ag: 0.1940 0.7889 0.3931 x1  8 Ag 2.77-2.90, 4 Cu 2.79-2.92
Ag: 0.2788 0.6873 0.1006 x1  5 Cu 2.72-2.90, 7 Ag 2.76-2.91
Ag: 0.3896 0.5825 0.7967 x1  2 Cu 2.75-2.77, 10 Ag 2.82-3.00
Ag: 0.4527 0.0408 0.1480 x1  5 Cu 2.78-2.90, 7 Ag 2.82-2.87
Ag: 0.5048 0.4816 0.4897 x1  6 Cu 2.67-2.85, 6 Ag 2.75-2.93
Ag: 0.5312 0.9502 0.8450 x1  4 Cu 2.71-2.94, 8 Ag 2.77-2.92
Ag: 0.5938 0.3947 0.1940 x1  6 Ag 2.75-2.87, 6 Cu 2.79-2.86
Ag: 0.6376 0.8509 0.5398 x1  3 Cu 2.80-2.81, 9 Ag 2.80-2.95
Ag: 0.7146 0.2873 0.8908 x1  6 Cu 2.73-2.88, 6 Ag 2.77-2.91
Ag: 0.8428 0.6521 0.9484 x1  9 Ag 2.76-2.96, 3 Cu 2.77-2.92
Ag: 0.9021 0.1019 0.2963 x1  7 Cu 2.69-2.92, 5 Ag 2.81-2.86
Ag: 0.9515 0.5335 0.6387 x1  3 Cu 2.73-2.79, 9 Ag 2.80-3.00



(3)
An optimized crystal structure of Cu3Ag2. Source: the Open Quantum Materials Database, functional GGA-PBE.

* energy: -3.2638 eV/atom
* calculated formation energy: 0.0961 eV per atom

a = 4.6548 Å, b = 13.9671 Å, c = 4.6281 Å
α = 90.00°, β = 107.32°, γ = 90.00°
Closest atoms and distances in Å follow each position.
Space group C2/m (No. 12)
Symmetry-distinct sites (fractional):
Cu: 0.0000 0.1106 0.0000 x4  5 Cu 2.52-2.70, 6 Ag 2.75-2.79
Cu: 0.0000 0.2013 0.5000 x4  4 Ag 2.61-2.81, 8 Cu 2.63-2.75
Cu: 0.0000 0.2909 0.0000 x4  9 Cu 2.52-2.75, 2 Ag 2.68
Ag: 0.0000 0.0000 0.5000 x2  6 Ag 2.75-2.80, 6 Cu 2.78-2.81
Ag: 0.0000 0.3883 0.5000 x4  7 Cu 2.61-2.75, 4 Ag 2.79-2.80
Ag: 0.0000 0.5000 0.0000 x2  6 Ag 2.75-2.79, 6 Cu 2.79-2.92



(4)
An optimized crystal structure of CuAg. Source: the Open Quantum Materials Database, functional GGA-PBE.

* energy: -3.1746 eV/atom
* calculated formation energy: 0.0961 eV per atom

a = 14.4805 Å, b = 3.7347 Å, c = 5.6343 Å
α = 90.00°, β = 101.27°, γ = 90.00°
Closest atoms and distances in Å follow each position.
Space group C2/m (No. 12)
Symmetry-distinct sites (fractional):
Cu: 0.0000 0.0000 0.0000 x2  10 Ag 2.77-2.82, 2 Cu 2.92
Cu: 0.2057 0.0000 0.1034 x4  7 Cu 2.64-2.92, 5 Ag 2.66-2.72
Cu: 0.2074 0.0000 0.6037 x4  6 Cu 2.63-2.82, 6 Ag 2.65-2.94
Ag: 0.0000 0.0000 0.5000 x2  8 Ag 2.80-2.81, 4 Cu 2.82-2.94
Ag: 0.1062 0.5000 0.2976 x4  7 Cu 2.65-2.77, 4 Ag 2.76-2.88
Ag: 0.1074 0.5000 0.8089 x4  7 Cu 2.66-2.78, 4 Ag 2.76-2.88



(5)
An optimized crystal structure of CuAg2. Source: the Open Quantum Materials Database, functional GGA-PBE.

* energy: -3.0556 eV/atom
* calculated formation energy: 0.0663 eV per atom

a = 11.2586 Å, b = 2.8911 Å, c = 9.1313 Å
α = 90.00°, β = 105.27°, γ = 90.00°
Closest atoms and distances in Å follow each position.
Space group C2/m (No. 12)
Symmetry-distinct sites (fractional):
Cu: 0.0000 0.0000 0.0000 x2  4 Cu 2.55, 4 Ag 2.70
Cu: 0.1556 0.5000 0.1876 x4  2 Cu 2.55, 7 Ag 2.71-2.78
Ag: 0.0236 0.0000 0.3405 x4  2 Cu 2.71, 8 Ag 2.89-2.97
Ag: 0.1588 0.5000 0.8889 x4  5 Cu 2.70-2.78, 7 Ag 2.82-2.90
Ag: 0.1852 0.5000 0.5900 x4  2 Cu 2.74, 9 Ag 2.82-2.97



(6)
An optimized crystal structure of Cu2Ag7. Source: the Open Quantum Materials Database, functional GGA-PBE.

* energy: -2.9791 eV/atom
* calculated formation energy: 0.0436 eV per atom

a = 2.9012 Å, b = 2.9012 Å, c = 35.6823 Å
α = 90.00°, β = 90.00°, γ = 90.00°
Closest atoms and distances in Å follow each position.
Space group I4/mmm (No. 139)
Symmetry-distinct sites (fractional):
Cu: 0.0000 0.0000 0.1109 x4  8 Ag 2.73-2.74, 4 Cu 2.90
Ag: 0.0000 0.0000 0.0000 x2  12 Ag 2.90-2.97
Ag: 0.0000 0.0000 0.2206 x4  12 Ag 2.90-2.95
Ag: 0.0000 0.0000 0.3387 x4  4 Cu 2.73, 8 Ag 2.90-2.95
Ag: 0.0000 0.0000 0.4399 x4  4 Cu 2.74, 8 Ag 2.90-2.97



Copy entry 5 word for word.
An optimized crystal structure of CuAg2. Source: the Open Quantum Materials Database, functional GGA-PBE.

* energy: -3.0556 eV/atom
* calculated formation energy: 0.0663 eV per atom

a = 11.2586 Å, b = 2.8911 Å, c = 9.1313 Å
α = 90.00°, β = 105.27°, γ = 90.00°
Closest atoms and distances in Å follow each position.
Space group C2/m (No. 12)
Symmetry-distinct sites (fractional):
Cu: 0.0000 0.0000 0.0000 x2  4 Cu 2.55, 4 Ag 2.70
Cu: 0.1556 0.5000 0.1876 x4  2 Cu 2.55, 7 Ag 2.71-2.78
Ag: 0.0236 0.0000 0.3405 x4  2 Cu 2.71, 8 Ag 2.89-2.97
Ag: 0.1588 0.5000 0.8889 x4  5 Cu 2.70-2.78, 7 Ag 2.82-2.90
Ag: 0.1852 0.5000 0.5900 x4  2 Cu 2.74, 9 Ag 2.82-2.97